# 1
Material: BeReRh2
Method: DFT, PBEsol
State: relaxed

Computed properties:
* crystal system: tetragonal
* VASP energy: -8.796 eV per atom
* DOS at the Fermi energy: 0.5249 states/eV per atom

Lattice parameters (Å, degrees): 2.7224 2.7224 6.5598 90.00 90.00 90.00
With the nearest neighbours (Å) after each atom.
Element x y z (fractional)
Rh: 0.0000 0.0000 0.7836  4 Be 2.39, 4 Re 2.68
Rh: 0.0000 0.0000 0.2164  4 Be 2.39, 4 Re 2.68
Be: 0.5000 0.5000 0.0000  8 Rh 2.39
Re: 0.5000 0.5000 0.5000  8 Rh 2.68, 4 Re 2.72

# 2
Material: BeReRh2
Method: DFT, PBEsol
State: relaxed

Computed properties:
* crystal system: orthorhombic
* VASP energy: -8.258 eV per atom
* DOS at the Fermi energy: 0.8089 states/eV per atom

Lattice parameters (Å, degrees): 2.7100 4.3320 4.3870 90.00 90.00 90.00
With the nearest neighbours (Å) after each atom.
Element x y z (fractional)
Rh: 0.0000 0.0000 0.0000  4 Be 2.55, 6 Rh 2.58-2.71
Rh: 0.5000 0.0000 0.5000  4 Re 2.55, 6 Rh 2.58-2.71
Be: 0.5000 0.5000 0.0000  4 Rh 2.55, 4 Re 2.58, 2 Be 2.71
Re: 0.0000 0.5000 0.5000  4 Rh 2.55, 4 Be 2.58, 2 Re 2.71

# 3
Material: Be4ReRu
Method: DFT, PBEsol
State: relaxed

Computed properties:
* crystal system: cubic
* VASP energy: -6.896 eV per atom
* DOS at the Fermi energy: 0.4052 states/eV per atom

Lattice parameters (Å, degrees): 4.3216 4.3216 4.3216 60.00 60.00 60.00
With the nearest neighbours (Å) after each atom.
Element x y z (fractional)
Ru: 0.0000 0.0000 0.0000  12 Be 2.54, 4 Re 2.65
Be: 0.8698 0.3767 0.3767  6 Be 2.13-2.19
Be: 0.3767 0.3767 0.3767  6 Be 2.13-2.19
Be: 0.3767 0.8698 0.3767  6 Be 2.13-2.19
Be: 0.3767 0.3767 0.8698  6 Be 2.13-2.19
Re: 0.7500 0.7500 0.7500  12 Be 2.53, 4 Ru 2.65

# 4
Material: BeReRu2
Method: DFT, PBEsol
State: relaxed

Computed properties:
* crystal system: tetragonal
* VASP energy: -9.571 eV per atom
* DOS at the Fermi energy: 0.6758 states/eV per atom

Lattice parameters (Å, degrees): 2.8019 2.8019 6.2260 90.00 90.00 90.00
With the nearest neighbours (Å) after each atom.
Element x y z (fractional)
Ru: 0.0000 0.0000 0.2193  4 Be 2.41, 4 Re 2.64
Ru: 0.0000 0.0000 0.7807  4 Be 2.41, 4 Re 2.64
Be: 0.5000 0.5000 0.0000  8 Ru 2.41
Re: 0.5000 0.5000 0.5000  8 Ru 2.64, 4 Re 2.80

# 5
Material: BeReRu2
Method: DFT, PBEsol
State: relaxed

Computed properties:
* crystal system: monoclinic
* VASP energy: -9.159 eV per atom
* DOS at the Fermi energy: 0.9648 states/eV per atom

Lattice parameters (Å, degrees): 2.6548 4.7725 4.8629 117.48 102.73 96.16
With the nearest neighbours (Å) after each atom.
Element x y z (fractional)
Be: 0.5000 0.0000 0.0000  4 Ru 2.50, 2 Re 2.60, 2 Be 2.65
Re: 0.0000 0.5000 0.0000  4 Ru 2.50, 2 Be 2.60, 2 Re 2.65
Ru: 0.0000 0.0000 0.5000  2 Re 2.50, 2 Be 2.50, 4 Ru 2.60-2.65
Ru: 0.5000 0.5000 0.5000  2 Be 2.50, 2 Re 2.50, 4 Ru 2.60-2.65

# 6
Material: Be2ReRu
Method: DFT, PBEsol
State: relaxed

Computed properties:
* crystal system: monoclinic
* VASP energy: -7.760 eV per atom
* DOS at the Fermi energy: 0.7677 states/eV per atom

Lattice parameters (Å, degrees): 2.5965 4.4693 4.4693 110.66 100.38 100.38
With the nearest neighbours (Å) after each atom.
Element x y z (fractional)
Ru: 0.5000 0.0000 0.0000  4 Be 2.37, 2 Re 2.54, 2 Ru 2.60
Be: 0.0000 0.0000 0.5000  2 Ru 2.37, 2 Re 2.37, 4 Be 2.54-2.60
Be: 0.0000 0.5000 0.0000  2 Re 2.37, 2 Ru 2.37, 4 Be 2.54-2.60
Re: 0.5000 0.5000 0.5000  4 Be 2.37, 2 Ru 2.54, 2 Re 2.60

no.,V (Å³ per atom)
1,12.15
2,12.88
3,9.51
4,12.22
5,12.94
6,11.51